# 1
# LiRuPt2, relaxed, DFT PBE-GGA
# M_tot	0.290	μB/atom
# E	-88.807	eV/cell
# distance to the lowest polymorph of the same formula	215	kJ/mol of formula units
data_LiRuPt2
_chemical_formula_sum 'Li4 Ru4 Pt8'
_cell_length_a 3.826
_cell_length_b 3.826
_cell_length_c 17.300
_cell_angle_alpha 90.00
_cell_angle_beta 90.00
_cell_angle_gamma 90.00
_symmetry_space_group_name_H-M 'I -4 2 d'
_symmetry_Int_Tables_number 122
_symmetry_space_group_name_Hall 'I -4 2bw'
loop_
_atom_site_label
_atom_site_fract_x
_atom_site_fract_y
_atom_site_fract_z
Li1 0.000 0.000 0.000
Ru1 0.000 0.000 0.500
Pt1 0.246 0.250 0.125

# 2
# LiRuPt2, relaxed, DFT PBE-GGA
# M_tot	0.000	μB/atom
# E	-23.079	eV/cell
# distance to the lowest polymorph of the same formula	131	kJ/mol of formula units
data_LiRuPt2
_chemical_formula_sum 'Li1 Ru1 Pt2'
_cell_length_a 3.223
_cell_length_b 3.223
_cell_length_c 5.557
_cell_angle_alpha 90.00
_cell_angle_beta 90.00
_cell_angle_gamma 90.00
_symmetry_space_group_name_H-M 'P 4 m m'
_symmetry_Int_Tables_number 99
loop_
_symmetry_equiv_pos_as_xyz
'x,y,z'
'-y,x,z'
'-x,-y,z'
'y,-x,z'
'-x,y,z'
'y,x,z'
'x,-y,z'
'-y,-x,z'
loop_
_atom_site_label
_atom_site_fract_x
_atom_site_fract_y
_atom_site_fract_z
Li1 0.000 0.000 0.000
Ru1 0.500 0.500 0.736
Pt1 0.000 0.000 0.501
Pt2 0.500 0.500 0.220